The following is a DFT calculation (PBE-GGA) of a relaxed CsOsPb2 crystal.

```
CsOsPb2
1.0
-5.142 3.448 3.894
-4.000 0.879 -6.060
-7.841 -4.120 0.163
Pb Cs Os
4 2 2
Direct
0.875 0.125 0.250
0.875 0.625 0.250
0.375 0.125 0.750
0.875 0.125 0.750
0.500 0.500 0.000
0.250 0.750 0.500
0.000 0.000 0.000
0.750 0.250 0.500
```

E_form ... 0.487 eV/atom
Energy relative to the lowest polymorph listed for this composition ... 0.0000 eV per atom
Total magnetic moment ... 0.00 μB per formula unit

The following is a DFT calculation (PBE-GGA) of a relaxed ScTiN2 crystal.

```
ScTiN2
1.0
3.063 0.000 0.000
-1.532 2.653 0.001
0.000 -0.003 5.332
Sc Ti N
1 1 2
Direct
0.000 0.500 0.000
0.000 0.500 0.500
0.667 0.833 0.734
0.333 0.167 0.266
```

Uncorrected formation energy ... -6.1 eV/f.u.
Total magnetic moment ... 0.00 μB per formula unit

The following is a DFT calculation (PBE-GGA) of a relaxed HfFeBr2 crystal.

```
HfFeBr2
1.0
1.954 0.000 8.337
-0.977 1.692 8.337
-0.977 -1.692 8.337
Hf Fe Br
1 1 2
Direct
0.000 0.000 0.000
0.500 0.500 0.500
0.891 0.891 0.891
0.109 0.109 0.109
```

Uncorrected formation energy ... 1.4 eV/f.u.
Energy relative to the lowest polymorph listed for this composition ... 0.3454 eV per atom
Total magnetic moment ... 0.00 μB per formula unit

The following is a DFT calculation (PBE-GGA) of a relaxed BaSr2ZrO5 crystal.

```
BaSr2ZrO5
1.0
-3.775 0.499 1.606
0.179 -5.754 2.207
4.252 4.672 3.226
Ba Sr Zr O
1 2 1 5
Direct
0.000 0.500 0.000
0.216 0.216 0.433
0.784 0.784 0.567
0.500 0.000 0.000
0.630 0.891 0.260
0.370 0.109 0.740
0.370 0.632 0.740
0.630 0.368 0.260
0.000 0.000 0.000
```

Uncorrected formation energy ... -26.6 eV/f.u.
Total magnetic moment ... 0.00 μB per formula unit

The following is a DFT calculation (PBE-GGA) of a relaxed NaMnCoSi2 crystal.

```
NaMnCoSi2
1.0
-0.856 -1.360 3.999
4.765 -0.722 0.775
0.376 4.040 1.454
Na Si Mn Co
1 2 1 1
Direct
0.000 0.500 0.000
0.000 0.000 0.500
0.500 0.000 0.000
0.500 0.500 0.500
0.000 0.000 0.000
```

Uncorrected formation energy ... 2.5 eV/f.u.
Total magnetic moment ... 4.35 μB per formula unit

The following is a DFT calculation (PBE-GGA) of a relaxed Ta3Nb2Se8 crystal.

```
Ta3Nb2Se8
1.0
6.439 0.000 1.429
0.000 7.456 0.000
-1.222 -3.728 6.107
Ta Nb Se
3 2 8
Direct
0.500 0.000 0.000
0.000 0.205 0.000
0.000 0.795 0.000
0.157 0.183 0.366
0.843 0.817 0.634
0.855 0.613 0.226
0.145 0.387 0.774
0.786 0.139 0.278
0.214 0.861 0.722
0.664 0.626 0.786
0.664 0.160 0.786
0.336 0.840 0.214
0.336 0.374 0.214
```

Uncorrected formation energy ... -8.7 eV/f.u.
Total magnetic moment ... 0.03 μB per formula unit

The following is a DFT calculation (PBE-GGA) of a relaxed AlTlRe2O8 crystal.

```
AlTlRe2O8
1.0
-4.103 2.386 -2.191
-4.376 -0.742 2.761
1.734 6.692 4.322
Al Tl Re O
1 1 2 8
Direct
0.000 0.000 0.000
0.000 0.000 0.500
0.634 0.634 0.199
0.366 0.366 0.801
0.733 0.181 0.835
0.787 0.787 0.053
0.665 0.665 0.414
0.335 0.335 0.586
0.213 0.213 0.947
0.181 0.733 0.835
0.819 0.267 0.165
0.267 0.819 0.165
```

Uncorrected formation energy ... -19.8 eV/f.u.
Total magnetic moment ... 2.04 μB per formula unit

The following is a DFT calculation (PBE-GGA) of a relaxed Ba2ZrSc crystal.

```
Ba2ZrSc
1.0
-3.185 5.456 -0.231
-5.620 2.834 -0.596
-1.498 0.540 6.120
Ba Sc Zr
2 1 1
Direct
0.997 0.997 0.002
0.503 0.503 0.498
0.750 0.750 0.750
0.250 0.250 0.250
```

E_form ... 0.604 eV/atom
Energy relative to the lowest polymorph listed for this composition ... 0.2599 eV per atom
Total magnetic moment ... 0.00 μB per formula unit

The following is a DFT calculation (PBE-GGA) of a relaxed BaV3C crystal.

```
BaV3C
1.0
4.264 0.000 0.000
0.000 4.264 0.000
0.000 0.000 4.264
C Ba V
1 1 3
Direct
0.000 0.000 0.000
0.500 0.500 0.500
0.000 0.500 0.000
0.000 0.000 0.500
0.500 0.000 0.000
```

E_form ... 0.778 eV/atom
Energy relative to the lowest polymorph listed for this composition ... 0.0000 eV per atom
Total magnetic moment ... 0.00 μB per formula unit

The following is a DFT calculation (PBE-GGA) of a relaxed SrH6Rh2 crystal.

```
SrH6Rh2
1.0
-3.135 -3.758 -0.853
3.435 -0.391 3.568
-2.878 1.729 2.961
Sr H Rh
1 6 2
Direct
0.000 0.000 0.000
0.605 0.000 0.309
0.395 0.395 0.309
0.000 0.605 0.309
0.605 0.605 0.691
0.000 0.395 0.691
0.395 0.000 0.691
0.333 0.667 0.500
0.667 0.333 0.500
```

Total magnetic moment ... 0.00 μB per formula unit
E_tot ... -4.32 eV per atom

The following is a DFT calculation (PBE-GGA) of a relaxed NaYCoCl6 crystal.

```
NaYCoCl6
1.0
6.583 0.000 0.000
-3.292 5.701 0.000
0.000 0.000 12.536
Na Y Co Cl
2 2 2 12
Direct
0.000 0.000 0.000
0.000 0.000 0.500
0.333 0.667 0.250
0.667 0.333 0.750
0.667 0.333 0.250
0.333 0.667 0.750
0.655 0.633 0.136
0.978 0.345 0.136
0.345 0.978 0.636
0.022 0.655 0.864
0.367 0.345 0.364
0.978 0.633 0.364
0.633 0.978 0.864
0.655 0.022 0.364
0.022 0.367 0.636
0.367 0.022 0.136
0.633 0.655 0.636
0.345 0.367 0.864
```

Uncorrected formation energy ... -14.2 eV/f.u.
Total magnetic moment ... 3.00 μB per formula unit

The following is a DFT calculation (PBE-GGA) of a relaxed BaURhSe4 crystal.

```
BaURhSe4
1.0
6.880 0.000 0.089
0.000 6.120 0.000
-2.589 0.000 8.561
Ba U Rh Se
2 2 2 8
Direct
0.755 0.750 0.946
0.245 0.250 0.054
0.743 0.750 0.447
0.257 0.250 0.553
0.237 0.750 0.348
0.763 0.250 0.652
0.034 0.513 0.717
0.966 0.013 0.283
0.966 0.487 0.283
0.034 0.987 0.717
0.443 0.750 0.156
0.557 0.250 0.844
0.449 0.750 0.609
0.551 0.250 0.391
```

Uncorrected formation energy ... -7.5 eV/f.u.
Total magnetic moment ... 1.16 μB per formula unit